DFT (meta-GGA SCAN) results for EuAl at its PBEsol-relaxed geometry.

The structure in POSCAR format:
```
EuAl
1.0
3.5504 0.0000 0.0000
0.0000 4.6341 0.0000
-1.7752 0.0000 6.2125
Eu Al
2 2
direct
0.1618 0.7500 0.3236
0.8382 0.2500 0.6764
0.4414 0.7500 0.8828
0.5586 0.2500 0.1172
```

=====

DFT (meta-GGA SCAN) results for Eu2Al3Ga at its PBEsol-relaxed geometry.

The structure in POSCAR format:
```
Eu2Al3Ga
1.0
-5.4896 -0.8629 0.5305
-1.9380 -3.1617 4.1724
-2.8049 2.4012 4.2509
Eu Al Ga
2 3 1
direct
0.8739 0.8739 0.3784
0.1261 0.1261 0.6216
0.5000 0.5000 0.0000
0.5000 0.0000 0.0000
0.0000 0.5000 0.0000
0.5000 0.5000 0.5000
```

=====

DFT (meta-GGA SCAN) results for EuAl2Ga2 at its PBEsol-relaxed geometry.

The structure in POSCAR format:
```
EuAl2Ga2
1.0
4.2234 0.0000 0.0000
0.0000 4.2234 0.0000
-2.1117 -2.1117 5.4545
Eu Al Ga
1 2 2
direct
0.0000 0.0000 0.0000
0.2500 0.7500 0.5000
0.7500 0.2500 0.5000
0.3873 0.3873 0.7747
0.6127 0.6127 0.2253
```

=====

Calculated volume values (in Å³/f.u.) by entry order: 51, 125, 97.
Energy of formation values (in eV per atom) by entry order: -0.28, -0.48, -0.49.